DFT (GGA-PBE) results for a relaxed structure of HfTlCuIr.

Cell and atoms, written as POSCAR:
```
HfTlCuIr
1.0
6.534 0.000 0.000
0.000 6.534 0.000
0.000 0.000 6.534
Hf Tl Cu Ir
4 4 4 4
direct
0.000 0.000 0.000 Hf
0.000 0.500 0.500 Hf
0.500 0.000 0.500 Hf
0.500 0.500 0.000 Hf
0.000 0.000 0.500 Tl
0.000 0.500 0.000 Tl
0.500 0.000 0.000 Tl
0.500 0.500 0.500 Tl
0.250 0.250 0.750 Cu
0.250 0.750 0.250 Cu
0.750 0.250 0.250 Cu
0.750 0.750 0.750 Cu
0.250 0.250 0.250 Ir
0.250 0.750 0.750 Ir
0.750 0.250 0.750 Ir
0.750 0.750 0.250 Ir
```

Results
The polymorph energy (0 for the lowest one) comes out at 0.0 meV per atom. The value obtained for the theoretical density is 15.20 g/cm³.